Entry 1:
Computed, not measured: crystalline PmSmSiNi at its relaxed geometry at the PBE level of DFT.

The space group is Amm2 (No. 38) and the conventional cell measures 4.115, 4.136 and 10.719 Å, with angles of 90.00, 90.00 and 90.00 degrees. Symmetry generates all atoms from Pm at (0.000, 0.000, 0.000), Sm at (0.500, 0.000, 0.280), Si at (0.500, 0.000, 0.576) and Ni at (0.000, 0.000, 0.704).

The value obtained for the formation energy from raw total energies is -0.565 eV per atom. Its energy is -5.733 eV per atom. The distance to the lowest polymorph of the same formula is 0.000 eV/atom.

=====

Entry 2:
Computed, not measured: crystalline ScTiPb2 at its relaxed geometry at the PBE level of DFT.

The space group is Fm-3m (No. 225) and the conventional cell measures 7.201, 7.201 and 7.201 Å, with angles of 90.00, 90.00 and 90.00 degrees. Symmetry generates all atoms from Sc at (0.000, 0.000, 0.000), Ti at (0.000, 0.000, 0.500) and Pb at (0.250, 0.250, 0.250).

Its formation energy is -24.4 meV/atom. Its energy is -5.435 eV per atom. The distance to the lowest polymorph of the same formula is 0.036 eV/atom.

=====

Entry 3:
Computed, not measured: crystalline Th2PaRh at its relaxed geometry at the PBE level of DFT.

The space group is R-3m (No. 166, hexagonal axes) and the conventional cell measures 3.3431, 3.3431 and 32.2546 Å, with angles of 90.00, 90.00 and 120.00 degrees. Symmetry generates all atoms from Th at (0.0000, 0.0000, 0.0978), Pa at (0.0000, 0.0000, 0.0000) and Rh at (0.0000, 0.0000, 0.5000).

Its formation energy is 114.3 meV/atom. Its energy is -7.807 eV per atom. The distance to the lowest polymorph of the same formula is 0.421 eV/atom.

=====

Entry 4:
Computed, not measured: crystalline CeScAl at its relaxed geometry at the PBE level of DFT.

The space group is Immm (No. 71) and the conventional cell measures 5.008, 6.093 and 8.748 Å, with angles of 90.00, 90.00 and 90.00 degrees. Symmetry generates all atoms from Ce at (0.000, 0.000, 0.150), Sc at (0.000, 0.500, 0.164) and Al at (0.000, 0.234, 0.500).

Its formation energy is -103.0 meV/atom. Its energy is -5.439 eV per atom. The distance to the lowest polymorph of the same formula is 0.108 eV/atom.

=====

Entry 5:
Computed, not measured: crystalline KUAs2 at its relaxed geometry at the PBE level of DFT.

The space group is R-3m (No. 166, hexagonal axes) and the conventional cell measures 4.2587, 4.2587 and 22.7966 Å, with angles of 90.00, 90.00 and 120.00 degrees. Symmetry generates all atoms from K at (0.0000, 0.0000, 0.0000), U at (0.0000, 0.0000, 0.5000) and As at (0.0000, 0.0000, 0.2283).

Its formation energy is -573.3 meV/atom. Its energy is -5.994 eV per atom. The distance to the lowest polymorph of the same formula is 0.000 eV/atom.

=====

Entry 6:
Computed, not measured: crystalline TmPu2ZrAs4 at its relaxed geometry at the PBE level of DFT.

The space group is P2/m (No. 10) and the conventional cell measures 6.987, 4.045 and 7.028 Å, with angles of 90.00, 109.43 and 90.00 degrees. Symmetry generates all atoms from Tm at (0.000, 0.000, 0.000), Pu at (0.500, 0.000, 0.500), Pu at (0.500, 0.500, 0.000), Zr at (0.000, 0.500, 0.500), As at (0.239, 0.000, 0.741) and As at (0.243, 0.500, 0.254).

Its formation energy is -1194.4 meV/atom. Its energy is -8.730 eV per atom.

=====

Entry 7:
Computed, not measured: crystalline CaCeErLu at its relaxed geometry at the PBE level of DFT.

The space group is F-43m (No. 216) and the conventional cell measures 8.059, 8.059 and 8.059 Å, with angles of 90.00, 90.00 and 90.00 degrees. Symmetry generates all atoms from Ca at (0.000, 0.000, 0.000), Ce at (0.000, 0.000, 0.500), Er at (0.250, 0.250, 0.750) and Lu at (0.250, 0.250, 0.250).

Its formation energy is 236.7 meV/atom. Its energy is -4.018 eV per atom.

=====

Entry 8:
Computed, not measured: crystalline KCd3Pt at its relaxed geometry at the PBE level of DFT.

The space group is C2/c (No. 15) and the conventional cell measures 15.609, 9.785 and 6.694 Å, with angles of 90.00, 102.41 and 90.00 degrees. Symmetry generates all atoms from K at (0.000, 0.015, 0.250), K at (0.000, 0.358, 0.750), Cd at (0.177, 0.499, 0.591), Cd at (0.181, 0.160, 0.077), Cd at (0.187, 0.163, 0.606) and Pt at (0.086, 0.321, 0.296).

Its formation energy is -128.9 meV/atom. Its energy is -2.106 eV per atom. The distance to the lowest polymorph of the same formula is 0.126 eV/atom.

=====

Entry 9:
Computed, not measured: crystalline Sr2BePb at its relaxed geometry at the PBE level of DFT.

The space group is R-3m (No. 166, hexagonal axes) and the conventional cell measures 4.0533, 4.0533 and 29.1483 Å, with angles of 90.00, 90.00 and 120.00 degrees. Symmetry generates all atoms from Sr at (0.0000, 0.0000, 0.2387), Be at (0.0000, 0.0000, 0.5000) and Pb at (0.0000, 0.0000, 0.0000).

Its formation energy is 225.8 meV/atom. Its energy is -2.474 eV per atom. The distance to the lowest polymorph of the same formula is 0.314 eV/atom.

=====

Entry 10:
Computed, not measured: crystalline PaTiMoOs at its relaxed geometry at the PBE level of DFT.

The space group is F-43m (No. 216) and the conventional cell measures 6.594, 6.594 and 6.594 Å, with angles of 90.00, 90.00 and 90.00 degrees. Symmetry generates all atoms from Pa at (0.000, 0.000, 0.000), Ti at (0.000, 0.000, 0.500), Mo at (0.250, 0.250, 0.750) and Os at (0.250, 0.250, 0.250).

Its formation energy is -217.8 meV/atom. Its energy is -10.081 eV per atom.

=====

Entry 11:
Computed, not measured: crystalline AcGa2Pb at its relaxed geometry at the PBE level of DFT.

The space group is P4/mmm (No. 123) and the conventional cell measures 4.896, 4.896 and 4.536 Å, with angles of 90.00, 90.00 and 90.00 degrees. Symmetry generates all atoms from Ac at (0.000, 0.000, 0.000), Ga at (0.000, 0.500, 0.500) and Pb at (0.500, 0.500, 0.000).

Its formation energy is -349.1 meV/atom. Its energy is -3.817 eV per atom. The distance to the lowest polymorph of the same formula is 0.052 eV/atom.

=====

Entry 12:
Computed, not measured: crystalline Li3SmTm2Se6 at its relaxed geometry at the PBE level of DFT.

The space group is C2/m (No. 12) and the conventional cell measures 7.043, 12.201 and 6.907 Å, with angles of 90.00, 109.86 and 90.00 degrees. Symmetry generates all atoms from Li at (0.000, 0.000, 0.000), Li at (0.000, 0.332, 0.000), Sm at (0.000, 0.500, 0.500), Tm at (0.000, 0.167, 0.500), Se at (0.243, 0.000, 0.754) and Se at (0.245, 0.171, 0.248).

The value obtained for the formation energy from raw total energies is -1.687 eV per atom. Its energy is -5.046 eV per atom.

=====

Entry 13:
Computed, not measured: crystalline KLi2PaI8 at its relaxed geometry at the PBE level of DFT.

The space group is C2/m (No. 12) and the conventional cell measures 11.753, 8.927 and 10.289 Å, with angles of 90.00, 95.32 and 90.00 degrees. Symmetry generates all atoms from K at (0.000, 0.000, 0.000), Li at (0.127, 0.500, 0.239), Pa at (0.000, 0.000, 0.500), I at (0.017, 0.235, 0.705), I at (0.203, 0.500, 0.010) and I at (0.249, 0.500, 0.498).

The value obtained for the formation energy from raw total energies is -1.025 eV per atom. Its energy is -3.260 eV per atom.

=====

Entry 14:
Computed, not measured: crystalline LaInPd2 at its relaxed geometry at the PBE level of DFT.

The space group is P4/mmm (No. 123) and the conventional cell measures 3.515, 3.515 and 6.943 Å, with angles of 90.00, 90.00 and 90.00 degrees. Symmetry generates all atoms from La at (0.000, 0.000, 0.000), In at (0.000, 0.000, 0.500) and Pd at (0.500, 0.500, 0.289).

Its formation energy is -616.5 meV/atom. Its energy is -5.129 eV per atom.

=====

Entry 15:
Computed, not measured: crystalline PrLuMgSc at its relaxed geometry at the PBE level of DFT.

The space group is F-43m (No. 216) and the conventional cell measures 7.663, 7.663 and 7.663 Å, with angles of 90.00, 90.00 and 90.00 degrees. Symmetry generates all atoms from Pr at (0.000, 0.000, 0.000), Lu at (0.000, 0.000, 0.500), Mg at (0.250, 0.250, 0.250) and Sc at (0.250, 0.250, 0.750).

Its formation energy is 33.1 meV/atom. Its energy is -4.274 eV per atom.

=====

Entry 16:
Computed, not measured: crystalline LiPPb at its relaxed geometry at the PBE level of DFT.

The space group is F-43m (No. 216) and the conventional cell measures 6.741, 6.741 and 6.741 Å, with angles of 90.00, 90.00 and 90.00 degrees. Symmetry generates all atoms from Li at (0.000, 0.000, 0.000), P at (0.000, 0.000, 0.500) and Pb at (0.250, 0.250, 0.250).

Its formation energy is 137.8 meV/atom. Its energy is -3.540 eV per atom. The distance to the lowest polymorph of the same formula is 0.376 eV/atom.

=====

Entry 17:
Computed, not measured: crystalline NpZnGaTc at its relaxed geometry at the PBE level of DFT.

The space group is F-43m (No. 216) and the conventional cell measures 6.548, 6.548 and 6.548 Å, with angles of 90.00, 90.00 and 90.00 degrees. Symmetry generates all atoms from Np at (0.000, 0.000, 0.000), Zn at (0.250, 0.250, 0.750), Ga at (0.000, 0.000, 0.500) and Tc at (0.250, 0.250, 0.250).

Its formation energy is 231.1 meV/atom. Its energy is -6.671 eV per atom.

=====

Entry 18:
Computed, not measured: crystalline Fe2HPd6 at its relaxed geometry at the PBE level of DFT.

The space group is I4/mmm (No. 139) and the conventional cell measures 5.547, 5.547 and 7.861 Å, with angles of 90.00, 90.00 and 90.00 degrees. Symmetry generates all atoms from Fe at (0.000, 0.500, 0.250), H at (0.000, 0.000, 0.000), Pd at (0.000, 0.000, 0.252) and Pd at (0.248, 0.248, 0.500).

Its energy is -5.805 eV per atom.

=====

Entry 19:
Computed, not measured: crystalline Sb2IBrF at its relaxed geometry at the PBE level of DFT.

The space group is P4/mmm (No. 123) and the conventional cell measures 4.925, 4.925 and 5.621 Å, with angles of 90.00, 90.00 and 90.00 degrees. Symmetry generates all atoms from Sb at (0.000, 0.500, 0.000), I at (0.000, 0.000, 0.500), Br at (0.500, 0.500, 0.500) and F at (0.000, 0.000, 0.000).

The value obtained for the formation energy from raw total energies is 0.042 eV per atom. Its energy is -2.626 eV per atom. The distance to the lowest polymorph of the same formula is 0.000 eV/atom.

=====

Entry 20:
Computed, not measured: crystalline Pr12ZnCd6 at its relaxed geometry at the PBE level of DFT.

The space group is R-3 (No. 148, hexagonal axes) and the conventional cell measures 11.6022, 11.6022 and 14.7716 Å, with angles of 90.00, 90.00 and 120.00 degrees. Symmetry generates all atoms from Pr at (0.0327, 0.1900, 0.3203), Pr at (0.0643, 0.8516, 0.9061), Zn at (0.0000, 0.0000, 0.5000) and Cd at (0.0397, 0.4446, 0.2031).

Its formation energy is -121.0 meV/atom. Its energy is -3.496 eV per atom.